KPaBN3 after structural relaxation, computed with PBE.

Unit cell a=5.5563 b=5.5563 c=6.3469 alpha=90.00 beta=90.00 gamma=120.00
Last column: nearest neighbours and their distance in Å.
Space group P6_3/mmc (No. 194)
Asymmetric unit:
K 0.3333 0.6667 0.2500 (multiplicity 2)  6 N 2.78
Pa 0.0000 0.0000 0.0000 (multiplicity 2)  6 N 2.34
B 0.3333 0.6667 0.7500 (multiplicity 2)  3 N 1.49
N 0.1781 0.3562 0.7500 (multiplicity 6)  1 B 1.49

Output
E   -96.234 eV per cell
Size of the total moment   0.00 Bohr magnetons per cell